(1)
MgAsPd3 after structural relaxation, computed with PBE-GGA.

Final energy ... -97.1 eV/cell
Calculated density ... 8.13 g/cm³
DFT formation energy ... -0.49 eV/atom
Polymorph energy (0 for the lowest one) ... 0.046 eV per atom
Total magnetization ... 0.00 μB per atom

Cell lengths 5.376, 8.766, 7.718 Å; angles 109.88, 90.00, 90.00 degrees
Element x y z (fractional)
Pd 0.693 0.928 0.558
Pd 0.935 0.784 0.797
Mg 0.264 0.913 0.077
Pd 0.307 0.072 0.442
Pd 0.565 0.284 0.297
As 0.652 0.667 0.983
Pd 0.435 0.716 0.703
Pd 0.193 0.572 0.942
Pd 0.746 0.442 0.687
As 0.848 0.167 0.483
Mg 0.236 0.413 0.577
Pd 0.754 0.942 0.187
Pd 0.254 0.558 0.313
Mg 0.736 0.087 0.923
Pd 0.065 0.216 0.203
As 0.348 0.333 0.017
Mg 0.764 0.587 0.423
Pd 0.246 0.058 0.813
Pd 0.807 0.428 0.058
As 0.152 0.833 0.517


(2)
Mg3As2Pd7 after structural relaxation, computed with PBE-GGA.

Final energy ... -57.2 eV/cell
Calculated density ... 8.23 g/cm³
DFT formation energy ... -0.56 eV/atom
Total magnetization ... 0.00 μB per atom

Cell lengths 4.783, 4.783, 9.774 Å; angles 77.31, 113.88, 105.79 degrees
Element x y z (fractional)
Pd 0.871 0.543 0.816
As 0.795 0.076 0.719
Pd 0.129 0.457 0.184
As 0.205 0.924 0.281
Pd 0.359 0.054 0.816
Pd 0.000 0.000 0.000
Pd 0.641 0.946 0.184
Pd 0.307 0.194 0.499
Pd 0.693 0.806 0.501
Mg 0.500 0.500 0.000
Mg 0.753 0.397 0.357
Mg 0.247 0.603 0.643


(3)
MgAsPd2 after structural relaxation, computed with PBE-GGA.

Final energy ... -18.1 eV/cell
Calculated density ... 7.73 g/cm³
DFT formation energy ... -0.36 eV/atom
Total magnetization ... 0.00 μB per atom

Cell lengths 3.066, 3.066, 8.429 Å; angles 79.44, 79.44, 59.95 degrees
Element x y z (fractional)
Pd 0.247 0.247 0.258
Mg 0.666 0.666 0.001
As 0.500 0.500 0.500
Pd 0.086 0.086 0.741


(4)
Mg2As2Pd7 after structural relaxation, computed with PBE-GGA.

Final energy ... -52.7 eV/cell
Calculated density ... 8.30 g/cm³
DFT formation energy ... -0.35 eV/atom
Polymorph energy (0 for the lowest one) ... 0.091 eV per atom
Total magnetization ... 0.00 μB per atom

Cell lengths 7.013, 5.511, 5.511 Å; angles 114.71, 96.87, 96.87 degrees
Element x y z (fractional)
Pd 0.000 0.000 0.000
Pd 0.183 0.460 0.938
As 0.693 0.134 0.134
Pd 0.817 0.062 0.540
Pd 0.809 0.563 0.563
Pd 0.183 0.938 0.460
Mg 0.500 0.677 0.323
Pd 0.191 0.437 0.437
As 0.307 0.866 0.866
Pd 0.817 0.540 0.062
Mg 0.500 0.323 0.677


(5)
Mg2AsPd after structural relaxation, computed with PBE-GGA.

Final energy ... -15.2 eV/cell
Calculated density ... 5.50 g/cm³
DFT formation energy ... -0.54 eV/atom
Total magnetization ... 0.00 μB per atom

Cell lengths 3.778, 4.287, 4.287 Å; angles 90.00, 90.00, 90.00 degrees
Element x y z (fractional)
As 0.500 0.000 0.000
Pd 0.500 0.500 0.500
Mg 0.000 0.000 0.500
Mg 0.000 0.500 0.000


(6)
MgAs2Pd7 after structural relaxation, computed with PBE-GGA.

Final energy ... -51.9 eV/cell
Calculated density ... 9.24 g/cm³
DFT formation energy ... -0.46 eV/atom
Polymorph energy (0 for the lowest one) ... 0.000 eV per atom
Total magnetization ... 0.00 μB per atom

Cell lengths 4.037, 4.037, 10.532 Å; angles 101.05, 101.05, 90.00 degrees
Element x y z (fractional)
Pd 0.901 0.401 0.803
Pd 0.599 0.099 0.197
Pd 0.250 0.750 0.500
As 0.330 0.330 0.659
As 0.670 0.670 0.341
Pd 0.750 0.250 0.500
Pd 0.401 0.901 0.803
Pd 0.099 0.599 0.197
Mg 0.000 0.000 0.000
Pd 0.500 0.500 0.000


(7)
MgAsPd6 after structural relaxation, computed with PBE-GGA.

Final energy ... -39.1 eV/cell
Calculated density ... 9.42 g/cm³
DFT formation energy ... -0.22 eV/atom
Polymorph energy (0 for the lowest one) ... 0.155 eV per atom
Total magnetization ... 0.00 μB per atom

Cell lengths 5.504, 5.504, 5.499 Å; angles 109.14, 109.14, 109.00 degrees
Element x y z (fractional)
Pd 0.726 0.246 0.245
Pd 0.245 0.245 0.726
Pd 0.274 0.754 0.755
Mg 0.000 0.000 0.000
Pd 0.755 0.755 0.274
Pd 0.754 0.274 0.755
As 0.500 0.500 0.500
Pd 0.246 0.726 0.245


(8)
Mg2AsPd4 after structural relaxation, computed with PBE-GGA.

Final energy ... -32.0 eV/cell
Calculated density ... 7.74 g/cm³
DFT formation energy ... -0.48 eV/atom
Polymorph energy (0 for the lowest one) ... 0.005 eV per atom
Total magnetization ... 0.00 μB per atom

Cell lengths 5.386, 5.386, 5.386 Å; angles 99.87, 114.48, 114.48 degrees
Element x y z (fractional)
Mg 0.500 0.000 0.500
Mg 0.500 0.500 0.000
As 0.000 0.000 0.000
Pd 0.500 0.500 0.500
Pd 0.000 0.000 0.500
Pd 0.500 0.000 0.000
Pd 0.000 0.500 0.000


(9)
Mg4AsPd3 after structural relaxation, computed with PBE-GGA.

Final energy ... -31.6 eV/cell
Calculated density ... 6.02 g/cm³
DFT formation energy ... -0.62 eV/atom
Total magnetization ... 0.00 μB per atom

Cell lengths 4.527, 4.527, 8.070 Å; angles 73.71, 73.71, 60.00 degrees
Element x y z (fractional)
Pd 0.500 0.500 0.500
Pd 0.754 0.754 0.738
Mg 0.873 0.873 0.382
Mg 0.380 0.380 0.861
Mg 0.620 0.620 0.139
Pd 0.246 0.246 0.262
As 0.000 0.000 0.000
Mg 0.127 0.127 0.618


(10)
Mg5AsPd6 after structural relaxation, computed with PBE-GGA.

Final energy ... -51.8 eV/cell
Calculated density ... 7.19 g/cm³
DFT formation energy ... -0.67 eV/atom
Total magnetization ... 0.00 μB per atom

Cell lengths 4.426, 6.546, 7.011 Å; angles 90.00, 71.60, 90.00 degrees
Element x y z (fractional)
Mg 0.332 0.000 0.335
Pd 0.836 0.245 0.328
Mg 0.000 0.500 0.000
Pd 0.500 0.752 0.000
As 0.000 0.000 0.000
Pd 0.164 0.245 0.672
Pd 0.500 0.248 0.000
Mg 0.331 0.500 0.337
Mg 0.669 0.500 0.663
Pd 0.836 0.755 0.328
Pd 0.164 0.755 0.672
Mg 0.668 0.000 0.665


(11)
MgAs3Pd after structural relaxation, computed with PBE-GGA.

Final energy ... -18.8 eV/cell
Calculated density ... 4.95 g/cm³
DFT formation energy ... 0.39 eV/atom
Polymorph energy (0 for the lowest one) ... 0.000 eV per atom
Total magnetization ... 0.00 μB per atom

Cell lengths 4.922, 4.922, 4.922 Å; angles 90.00, 90.00, 90.00 degrees
Element x y z (fractional)
Mg 0.500 0.500 0.500
Pd 0.000 0.000 0.000
As 0.500 0.000 0.000
As 0.000 0.000 0.500
As 0.000 0.500 0.000


(12)
Mg2AsPd9 after structural relaxation, computed with PBE-GGA.

Final energy ... -59.4 eV/cell
Calculated density ... 9.63 g/cm³
DFT formation energy ... -0.40 eV/atom
Total magnetization ... 0.00 μB per atom

Cell lengths 3.945, 3.945, 11.985 Å; angles 90.00, 90.00, 90.00 degrees
Element x y z (fractional)
Pd 0.500 0.000 0.836
As 0.000 0.000 0.000
Pd 0.500 0.500 0.000
Pd 0.500 0.500 0.669
Pd 0.000 0.500 0.836
Mg 0.000 0.000 0.666
Pd 0.000 0.500 0.164
Pd 0.500 0.500 0.331
Pd 0.000 0.500 0.500
Pd 0.500 0.000 0.500
Pd 0.500 0.000 0.164
Mg 0.000 0.000 0.334


(13)
MgAsPd2 after structural relaxation, computed with PBE-GGA.

Final energy ... -17.2 eV/cell
Calculated density ... 7.26 g/cm³
DFT formation energy ... -0.13 eV/atom
Total magnetization ... 0.00 μB per atom

Cell lengths 5.918, 5.918, 5.918 Å; angles 55.74, 151.71, 133.03 degrees
Element x y z (fractional)
As 0.000 0.500 0.500
Pd 0.000 0.262 0.262
Pd 0.000 0.738 0.738
Mg 0.000 0.000 0.000


(14)
MgAsPd3 after structural relaxation, computed with PBE-GGA.

Final energy ... -49.0 eV/cell
Calculated density ... 8.68 g/cm³
DFT formation energy ... -0.54 eV/atom
Polymorph energy (0 for the lowest one) ... 0.000 eV per atom
Total magnetization ... 0.00 μB per atom

Cell lengths 3.979, 5.579, 7.637 Å; angles 101.59, 74.92, 89.99 degrees
Element x y z (fractional)
As 0.439 0.168 0.105
Pd 0.823 0.354 0.336
Pd 0.430 0.649 0.126
As 0.814 0.836 0.357
Mg 0.215 0.208 0.552
Pd 0.626 0.002 0.731
Pd 0.023 0.306 0.938
Pd 0.230 0.697 0.524
Pd 0.626 0.502 0.731
Mg 0.037 0.795 0.911


(15)
MgAsPd2 after structural relaxation, computed with PBE-GGA.

Final energy ... -35.9 eV/cell
Calculated density ... 7.31 g/cm³
DFT formation energy ... -0.33 eV/atom
Total magnetization ... 0.00 μB per atom

Cell lengths 4.045, 4.045, 9.127 Å; angles 77.20, 77.20, 90.00 degrees
Element x y z (fractional)
Pd 0.105 0.625 0.250
As 0.000 0.000 0.000
Pd 0.875 0.895 0.750
As 0.750 0.250 0.500
Mg 0.250 0.750 0.500
Pd 0.375 0.355 0.750
Pd 0.645 0.125 0.250
Mg 0.500 0.500 0.000


(16)
MgAsPd2 after structural relaxation, computed with PBE-GGA.

Final energy ... -75.6 eV/cell
Calculated density ... 7.60 g/cm³
DFT formation energy ... -0.57 eV/atom
Total magnetization ... 0.00 μB per atom

Cell lengths 5.688, 7.176, 6.679 Å; angles 90.00, 90.00, 90.00 degrees
Element x y z (fractional)
Pd 0.567 0.453 0.704
Pd 0.433 0.953 0.296
Mg 0.841 0.750 0.481
As 0.138 0.750 0.122
Pd 0.433 0.547 0.296
Pd 0.067 0.953 0.796
As 0.862 0.250 0.878
Mg 0.159 0.250 0.519
Pd 0.933 0.453 0.204
Mg 0.341 0.250 0.019
Pd 0.567 0.047 0.704
Pd 0.933 0.047 0.204
Pd 0.067 0.547 0.796
As 0.638 0.250 0.378
Mg 0.659 0.750 0.981
As 0.362 0.750 0.622


(17)
Mg2AsPd4 after structural relaxation, computed with PBE-GGA.

Final energy ... -29.5 eV/cell
Calculated density ... 6.36 g/cm³
DFT formation energy ... -0.12 eV/atom
Polymorph energy (0 for the lowest one) ... 0.364 eV per atom
Total magnetization ... 0.00 μB per atom

Cell lengths 4.600, 4.600, 7.512 Å; angles 72.17, 72.17, 90.00 degrees
Element x y z (fractional)
As 0.000 0.000 0.000
Pd 0.500 0.000 0.000
Mg 0.372 0.372 0.256
Mg 0.628 0.628 0.744
Pd 0.820 0.820 0.359
Pd 0.180 0.180 0.641
Pd 0.000 0.500 0.000


(18)
Mg2AsPd after structural relaxation, computed with PBE-GGA.

Final energy ... -27.9 eV/cell
Calculated density ... 4.93 g/cm³
DFT formation energy ... -0.24 eV/atom
Total magnetization ... 0.00 μB per atom

Cell lengths 7.270, 7.270, 5.918 Å; angles 52.11, 52.11, 90.00 degrees
Element x y z (fractional)
Pd 0.000 0.000 0.000
Mg 0.875 0.875 0.750
As 0.250 0.750 0.500
Pd 0.750 0.250 0.500
Mg 0.375 0.375 0.750
Mg 0.125 0.625 0.250
As 0.500 0.500 0.000
Mg 0.625 0.125 0.250


(19)
MgAsPd2 after structural relaxation, computed with PBE-GGA.

Final energy ... -18.6 eV/cell
Calculated density ... 7.98 g/cm³
DFT formation energy ... -0.49 eV/atom
Total magnetization ... 0.00 μB per atom

Cell lengths 3.237, 3.237, 6.200 Å; angles 90.00, 90.00, 90.00 degrees
Element x y z (fractional)
Mg 0.500 0.500 0.000
Pd 0.000 0.000 0.743
Pd 0.000 0.000 0.257
As 0.500 0.500 0.500


(20)
Mg2AsPd after structural relaxation, computed with PBE-GGA.

Final energy ... -15.0 eV/cell
Calculated density ... 5.39 g/cm³
DFT formation energy ... -0.50 eV/atom
Total magnetization ... 0.00 μB per atom

Cell lengths 3.257, 3.257, 6.672 Å; angles 90.00, 90.00, 90.00 degrees
Element x y z (fractional)
Pd 0.500 0.500 0.500
As 0.500 0.500 0.000
Mg 0.000 0.000 0.736
Mg 0.000 0.000 0.264


(21)
Mg3As3Pd2 after structural relaxation, computed with PBE-GGA.

Final energy ... -131.4 eV/cell
Calculated density ... 5.67 g/cm³
DFT formation energy ... -0.47 eV/atom
Total magnetization ... 0.00 μB per atom

Cell lengths 5.244, 7.222, 15.802 Å; angles 90.00, 90.00, 90.00 degrees
Element x y z (fractional)
Mg 0.860 0.802 0.250
Pd 0.892 0.077 0.123
Mg 0.609 0.054 0.883
Mg 0.109 0.446 0.117
As 0.918 0.780 0.465
As 0.418 0.720 0.965
As 0.648 0.333 0.750
Mg 0.391 0.946 0.117
Mg 0.891 0.554 0.617
Mg 0.109 0.446 0.383
Pd 0.108 0.923 0.877
Pd 0.392 0.423 0.623
As 0.852 0.833 0.750
As 0.418 0.720 0.535
Pd 0.392 0.423 0.877
Pd 0.892 0.077 0.377
Mg 0.391 0.946 0.383
Mg 0.640 0.302 0.250
As 0.082 0.220 0.535
As 0.582 0.280 0.035
Pd 0.608 0.577 0.377
Mg 0.891 0.554 0.883
Pd 0.608 0.577 0.123
As 0.352 0.667 0.250
Pd 0.108 0.923 0.623
As 0.082 0.220 0.965
As 0.148 0.167 0.250
Mg 0.360 0.698 0.750
Mg 0.140 0.198 0.750
As 0.582 0.280 0.465
As 0.918 0.780 0.035
Mg 0.609 0.054 0.617


(22)
Mg2AsPd4 after structural relaxation, computed with PBE-GGA.

Final energy ... -64.0 eV/cell
Calculated density ... 7.73 g/cm³
DFT formation energy ... -0.48 eV/atom
Polymorph energy (0 for the lowest one) ... 0.000 eV per atom
Total magnetization ... 0.00 μB per atom

Cell lengths 6.255, 5.400, 7.550 Å; angles 90.00, 112.36, 90.00 degrees
Element x y z (fractional)
Mg 0.765 0.750 0.028
As 0.762 0.250 0.802
Pd 0.586 0.004 0.253
As 0.238 0.750 0.198
Pd 0.051 0.750 0.438
Mg 0.324 0.250 0.424
Pd 0.414 0.996 0.747
Mg 0.676 0.750 0.576
Mg 0.235 0.250 0.972
Pd 0.949 0.250 0.562
Pd 0.091 0.750 0.842
Pd 0.909 0.250 0.158
Pd 0.586 0.496 0.253
Pd 0.414 0.504 0.747